Compound: TlGa2SbH
Source: the Alexandria database
Functional: PBEsol
Structure: optimized geometry

abc: 3.6245 5.3743 5.3743
angles: 90.00 90.00 90.00
Last column: nearest neighbours and their distance in Å.
Fractional positions:
Ga 0.0000 0.0000 0.5000  2 Tl 2.69
Ga 0.0000 0.5000 0.0000  2 Tl 2.69
H 0.5000 0.0000 0.0000  2 Tl 1.81
Tl 0.0000 0.0000 0.0000  2 H 1.81
Sb 0.5000 0.5000 0.5000  8 Ga 3.24, 2 Sb 3.62

Properties
electronic total energy: -15.2 eV/cell

Compound: ScZnGaH2
Source: the Alexandria database
Functional: PBEsol
Structure: optimized geometry

abc: 3.7369 3.7369 5.4990
angles: 90.00 90.00 90.00
Last column: nearest neighbours and their distance in Å.
Fractional positions:
Sc 0.0000 0.0000 0.5000  4 Ga 2.64, 2 Zn 2.75
Ga 0.5000 0.5000 0.5000  4 Sc 2.64
H 0.5000 0.0000 0.0000  2 Zn 1.87
H 0.0000 0.5000 0.0000  2 Zn 1.87
Zn 0.0000 0.0000 0.0000  4 H 1.87

Properties
electronic total energy: -15.7 eV/cell

Compound: GaHSe3
Source: the Alexandria database
Functional: PBEsol
Structure: optimized geometry

abc: 4.3531 4.3531 4.3531
angles: 90.00 90.00 90.00
Last column: nearest neighbours and their distance in Å.
Fractional positions:
Se 0.0000 0.5000 0.0000  2 H 2.18
Se 0.0000 0.0000 0.5000  2 H 2.18
Se 0.5000 0.0000 0.0000  2 H 2.18
Ga 0.5000 0.5000 0.5000  12 Se 3.08
H 0.0000 0.0000 0.0000  6 Se 2.18

Properties
electronic total energy: -15.7 eV/cell

Compound: Ga2SiH
Source: the Alexandria database
Functional: PBEsol
Structure: optimized geometry

abc: 4.2665 4.2665 4.2665
angles: 60.00 60.00 60.00
Last column: nearest neighbours and their distance in Å.
Fractional positions:
H 0.0000 0.0000 0.0000  8 Ga 2.61
Ga 0.2500 0.2500 0.2500  4 H 2.61, 4 Si 2.61
Ga 0.7500 0.7500 0.7500  4 H 2.61, 4 Si 2.61
Si 0.5000 0.5000 0.5000  8 Ga 2.61

Properties
electronic total energy: -14.2 eV/cell

Compound: SrGaSiH
Source: the Alexandria database
Functional: PBEsol
Structure: optimized geometry

abc: 4.1459 4.1459 4.8328
angles: 90.00 90.00 120.00
Last column: nearest neighbours and their distance in Å.
Fractional positions:
Sr 0.0000 0.0000 0.0035  3 H 2.43
Ga 0.3333 0.6667 0.4538  1 H 1.75
H 0.3333 0.6667 0.0907  1 Ga 1.75
Si 0.6667 0.3333 0.5551  3 Ga 2.44

Properties
electronic total energy: -16.1 eV/cell

Compound: GaSiHW2
Source: the Alexandria database
Functional: PBEsol
Structure: optimized geometry

abc: 4.4194 4.5008 4.5008
angles: 90.00 90.00 90.00
Last column: nearest neighbours and their distance in Å.
Fractional positions:
Ga 0.5000 0.0000 0.0000  2 Si 2.21
Si 0.0000 0.0000 0.0000  2 Ga 2.21, 4 W 2.25
H 0.5000 0.5000 0.5000  8 W 3.15, 4 Ga 3.18
W 0.0000 0.0000 0.5000  2 Si 2.25
W 0.0000 0.5000 0.0000  2 Si 2.25

Properties
electronic total energy: -29.9 eV/cell

Compound: SrGa2H2
Source: the Alexandria database
Functional: PBEsol
Structure: optimized geometry

abc: 4.3444 4.3444 4.5540
angles: 90.00 90.00 120.00
Last column: nearest neighbours and their distance in Å.
Fractional positions:
Ga 0.3333 0.6667 0.4656  1 H 1.69
Ga 0.6667 0.3333 0.5344  1 H 1.69
Sr 0.0000 0.0000 0.0000  6 H 2.54
H 0.3333 0.6667 0.0942  1 Ga 1.69
H 0.6667 0.3333 0.9058  1 Ga 1.69

Properties
electronic total energy: -17.4 eV/cell

Compound: TaGa3H
Source: the Alexandria database
Functional: PBEsol
Structure: optimized geometry

abc: 5.0463 5.0463 5.0463
angles: 90.00 90.00 90.00
Last column: nearest neighbours and their distance in Å.
Fractional positions:
H 0.5000 0.5000 0.5000  12 Ga 3.57
Ga 0.5000 0.0000 0.0000  2 Ta 2.52
Ga 0.0000 0.0000 0.5000  2 Ta 2.52
Ga 0.0000 0.5000 0.0000  2 Ta 2.52
Ta 0.0000 0.0000 0.0000  6 Ga 2.52

Properties
electronic total energy: -20.0 eV/cell

Compound: Ta2GaH
Source: the Alexandria database
Functional: PBEsol
Structure: optimized geometry

abc: 4.2903 4.2903 4.2903
angles: 60.00 60.00 60.00
Last column: nearest neighbours and their distance in Å.
Fractional positions:
Ga 0.5000 0.5000 0.5000  8 Ta 2.63
Ta 0.7500 0.7500 0.7500  4 Ga 2.63, 4 H 2.63
Ta 0.2500 0.2500 0.2500  4 Ga 2.63, 4 H 2.63
H 0.0000 0.0000 0.0000  8 Ta 2.63

Properties
electronic total energy: -29.9 eV/cell

Compound: Ta2GaHW
Source: the Alexandria database
Functional: PBEsol
Structure: optimized geometry

abc: 3.9283 4.1346 4.1346
angles: 90.00 90.00 90.00
Last column: nearest neighbours and their distance in Å.
Fractional positions:
Ta 0.0000 0.5000 0.0000  2 H 2.07
Ta 0.0000 0.0000 0.5000  2 H 2.07
W 0.5000 0.0000 0.0000  2 H 1.96
H 0.0000 0.0000 0.0000  2 W 1.96, 4 Ta 2.07
Ga 0.5000 0.5000 0.5000  8 Ta 2.85, 4 W 2.92

Properties
electronic total energy: -45.7 eV/cell

Compound: GaTcH3
Source: the Alexandria database
Functional: PBEsol
Structure: optimized geometry

abc: 3.3824 3.3824 3.3824
angles: 90.00 90.00 90.00
Last column: nearest neighbours and their distance in Å.
Fractional positions:
H 0.5000 0.0000 0.0000  2 Ga 1.69
H 0.0000 0.5000 0.0000  2 Ga 1.69
H 0.0000 0.0000 0.5000  2 Ga 1.69
Tc 0.5000 0.5000 0.5000  12 H 2.39
Ga 0.0000 0.0000 0.0000  6 H 1.69

Properties
electronic total energy: -19.9 eV/cell

Compound: GaTcH2
Source: the Alexandria database
Functional: PBEsol
Structure: optimized geometry

abc: 3.6464 3.6464 6.1725
angles: 107.18 107.18 90.00
Last column: nearest neighbours and their distance in Å.
Fractional positions:
H 0.6250 0.7078 0.7500  2 Tc 1.78
H 0.2922 0.8750 0.2500  2 Tc 1.78
H 0.1250 0.0422 0.7500  2 Tc 1.78
H 0.9578 0.3750 0.2500  2 Tc 1.78
Tc 0.2500 0.7500 0.5000  4 H 1.78
Tc 0.0000 0.0000 0.0000  4 H 1.78
Ga 0.7500 0.2500 0.5000  4 H 2.07
Ga 0.5000 0.5000 0.0000  4 H 2.07

Properties
electronic total energy: -40.5 eV/cell

Compound: GaTeH3
Source: the Alexandria database
Functional: PBEsol
Structure: optimized geometry

abc: 4.0426 4.0426 4.0426
angles: 90.00 90.00 90.00
Last column: nearest neighbours and their distance in Å.
Fractional positions:
H 0.5000 0.0000 0.0000  2 Te 2.02
H 0.0000 0.0000 0.5000  2 Te 2.02
H 0.0000 0.5000 0.0000  2 Te 2.02
Te 0.0000 0.0000 0.0000  6 H 2.02
Ga 0.5000 0.5000 0.5000  12 H 2.86

Properties
E above lowest polymorph: 3 meV per atom

Compound: GaTeH3
Source: the Alexandria database
Functional: PBEsol
Structure: optimized geometry

abc: 3.7971 3.7971 3.7971
angles: 90.00 90.00 90.00
Last column: nearest neighbours and their distance in Å.
Fractional positions:
H 0.5000 0.0000 0.0000  2 Ga 1.90
H 0.0000 0.5000 0.0000  2 Ga 1.90
H 0.0000 0.0000 0.5000  2 Ga 1.90
Ga 0.0000 0.0000 0.0000  6 H 1.90
Te 0.5000 0.5000 0.5000  12 H 2.68

Properties
E above lowest polymorph: 0 meV per atom

For each record above, in turn, the calculated volume values are 105; 77; 82; 55; 72; 90; 74; 129; 56; 67; 39; 75; 66; 55 Å³ per cell.
For each record above, in turn, the calculated Fermi-level density of states values are 1.8; 3.5; 2.6; 1.5; 0.0; 2.9; 0.2; 6.2; 3.2; 1.8; 2.3; 2.7; 1.1; 1.8 states/eV per cell.